GGA-PBE PuCuB, optimized geometry; energy above the lowest structure with this stoichiometry = 0 meV/atom
1.0
0.000 2.862 2.862
2.862 0.000 2.862
2.862 2.862 0.000
B Cu Pu
1 1 1
Direct
0.000 0.000 0.000
0.250 0.250 0.250
0.750 0.750 0.750

Below is an optimized crystal structure of CuReB, with properties calculated at the GGA-PBE level.

```
CuReB
1.0
0.000 2.681 2.681
2.681 0.000 2.681
2.681 2.681 0.000
B Cu Re
1 1 1
Direct
0.250 0.250 0.250
0.000 0.000 0.000
0.750 0.750 0.750
```

no.,final energy (eV per atom)
1,-7.8968
2,-6.1606